(1)
The following is a PBE calculation of a relaxed PmCuSi2Ni crystal, from the Alexandria database.

Results
The density of states at the Fermi level is 2.53 states/eV/f.u. The calculation puts the total magnetization at 0.0000 μB per atom. The calculation puts the energy relative to the elements, uncorrected at -705 meV/atom.

a b c (Å): 4.0492 4.0492 5.6561
angles (deg): 110.97 110.97 90.00
Positions (direct):
Ni  0.7500  0.2500  0.5000
Pm  0.0000  0.0000  0.0000
Cu  0.2500  0.7500  0.5000
Si  0.3758  0.3758  0.7516
Si  0.6242  0.6242  0.2484

---

(2)
The following is a PBE calculation of a relaxed Pm2Cu3SiNi12 crystal, from the Alexandria database.

Results
The density of states at the Fermi level is 19.97 states/eV/f.u. The calculation puts the total magnetization at 0.0000 μB per atom. The calculation puts the energy relative to the elements, uncorrected at 123 meV/atom.

a b c (Å): 9.0678 9.0678 9.0678
angles (deg): 38.62 38.62 38.62
Positions (direct):
Ni  0.9301  0.3473  0.9301
Ni  0.9301  0.9301  0.3473
Ni  0.0699  0.0699  0.6527
Ni  0.6527  0.0699  0.0699
Ni  0.4216  0.4216  0.8113
Pm  0.6532  0.6532  0.6532
Ni  0.5784  0.1887  0.5784
Pm  0.3468  0.3468  0.3468
Cu  0.0000  0.0000  0.5000
Ni  0.3473  0.9301  0.9301
Cu  0.5000  0.0000  0.0000
Ni  0.1887  0.5784  0.5784
Cu  0.0000  0.5000  0.0000
Si  0.0000  0.0000  0.0000
Ni  0.0699  0.6527  0.0699
Ni  0.5784  0.5784  0.1887
Ni  0.8113  0.4216  0.4216
Ni  0.4216  0.8113  0.4216

---

(3)
The following is a PBE calculation of a relaxed PmCu2SiNi2 crystal, from the Alexandria database.

Results
The density of states at the Fermi level is 6.14 states/eV/f.u. The calculation puts the total magnetization at 0.0000 μB per atom. The calculation puts the energy relative to the elements, uncorrected at -89 meV/atom.

a b c (Å): 4.2412 4.2412 5.5764
angles (deg): 90.00 90.00 90.00
Positions (direct):
Ni  0.0000  0.5000  0.0000
Pm  0.0000  0.0000  0.5000
Cu  0.5000  0.5000  0.2616
Cu  0.5000  0.5000  0.7384
Ni  0.5000  0.0000  0.0000
Si  0.0000  0.0000  0.0000

---

(4)
The following is a PBE calculation of a relaxed PmCu2SiNi crystal, from the Alexandria database.

Results
The density of states at the Fermi level is 3.83 states/eV/f.u. The calculation puts the total magnetization at 0.0000 μB per atom. The calculation puts the energy relative to the elements, uncorrected at -400 meV/atom.

a b c (Å): 4.1593 4.1756 5.5230
angles (deg): 112.21 112.12 90.00
Positions (direct):
Cu  0.0589  0.0589  0.1178
Pm  0.4435  0.4435  0.8871
Ni  0.2030  0.7030  0.4061
Cu  0.6971  0.1971  0.3942
Si  0.8096  0.8096  0.6192

---

(5)
The following is a PBE calculation of a relaxed PmCuSi2Ni2 crystal, from the Alexandria database.

Results
The density of states at the Fermi level is 3.43 states/eV/f.u. The calculation puts the total magnetization at 0.0000 μB per atom. The calculation puts the energy relative to the elements, uncorrected at -625 meV/atom.

a b c (Å): 3.9925 3.9925 6.6776
angles (deg): 90.00 90.00 120.00
Positions (direct):
Si  0.6667  0.3333  0.7006
Cu  0.0000  0.0000  0.5000
Pm  0.0000  0.0000  0.0000
Si  0.3333  0.6667  0.2994
Ni  0.6667  0.3333  0.3455
Ni  0.3333  0.6667  0.6545

---

(6)
The following is a PBE calculation of a relaxed Pm2CuSi4Ni3 crystal, from the Alexandria database.

Results
The density of states at the Fermi level is 4.20 states/eV/f.u. The calculation puts the total magnetization at 0.0000 μB per atom. The calculation puts the energy relative to the elements, uncorrected at -764 meV/atom.

a b c (Å): 4.0418 4.0418 9.6162
angles (deg): 90.00 90.00 90.00
Positions (direct):
Si  0.5000  0.0000  0.6340
Cu  0.5000  0.5000  0.5000
Ni  0.5000  0.0000  0.8795
Ni  0.0000  0.0000  0.5000
Pm  0.5000  0.0000  0.2477
Ni  0.0000  0.5000  0.1205
Si  0.0000  0.0000  0.0000
Si  0.5000  0.5000  0.0000
Si  0.0000  0.5000  0.3660
Pm  0.0000  0.5000  0.7523